# 1
Density functional theory data (PBE) for a relaxed structure of Pa3SeO3. Values from VASP.

Cell and atoms, written as Quantum ESPRESSO input:
```
&SYSTEM
  ibrav = 0, nat = 14, ntyp = 3
/
ATOMIC_SPECIES
Pa 231.04 Pa.upf
Se 78.96 Se.upf
O 16.00 O.upf
CELL_PARAMETERS angstrom
6.710 0.000 0.000
3.355 5.811 0.000
3.355 1.937 6.763
ATOMIC_POSITIONS crystal
Pa 0.240 0.573 0.281
Pa 0.906 0.240 0.281
Pa 0.573 0.906 0.281
Pa 0.427 0.094 0.719
Pa 0.094 0.760 0.719
Pa 0.760 0.427 0.719
Se 0.333 0.333 0.000
Se 0.667 0.667 0.000
O 0.457 0.794 0.625
O 0.794 0.125 0.625
O 0.125 0.457 0.625
O 0.875 0.543 0.375
O 0.206 0.875 0.375
O 0.543 0.206 0.375
```

Results
Crystal system: trigonal
Space-group type: R-3
ΔE_f (raw) (eV per atom): -2.49
DFT total energy (eV/atom): -9.1823
Fermi-level density of states (states/eV/f.u.): 9.9

***

# 2
Density functional theory data (PBE) for a relaxed structure of PaSe2O8. Values from VASP.

Cell and atoms, written as Quantum ESPRESSO input:
```
&SYSTEM
  ibrav = 0, nat = 11, ntyp = 3
/
ATOMIC_SPECIES
Pa 231.04 Pa.upf
Se 78.96 Se.upf
O 16.00 O.upf
CELL_PARAMETERS angstrom
-5.689 1.482 -2.873
-2.591 -4.484 2.818
0.143 5.348 2.476
ATOMIC_POSITIONS crystal
Pa 0.000 0.000 0.000
Se 0.295 0.333 0.667
Se 0.705 0.667 0.333
O 0.457 0.667 0.333
O 0.543 0.333 0.667
O 0.806 0.825 0.175
O 0.194 0.175 0.349
O 0.194 0.651 0.825
O 0.194 0.175 0.825
O 0.806 0.825 0.651
O 0.806 0.349 0.175
```

Results
Crystal system: trigonal
Polymorph energy (0 for the lowest one) (eV per atom): 0.000
Space-group type: P-3m1
ΔE_f (raw) (eV per atom): -1.38
DFT total energy (eV/atom): -6.4791
Fermi-level density of states (states/eV/f.u.): 3.6